The following is a PBE with a Hubbard U calculation of crystalline HgPtWO2 at its relaxed geometry, from Alexandria.

Geometry as extended XYZ:
```
5
Lattice="-2.1220 1.5960 2.9643 -0.7453 -5.3560 2.3503 3.3289 0.4712 2.1293" Properties=species:S:1:pos:R:3 pbc="T T T"
W 0.2308 -1.6444 3.7219
O 1.6644 0.2356 1.0647
O -1.0610 0.7980 1.4821
Hg -0.3726 -2.6780 1.1751
Pt 0.0000 0.0000 0.0000
```

Uncorrected energy (eV per atom): -4.023
Symmetry: P4/mmm (123)